Entry P
Be2ICl2 GGA-PBE optimized geometry; ρ = 3.86 g cm⁻³; magnetic moment = 0.000 μB per atom
1.0
-2.109 2.109 5.215
2.109 -2.109 5.215
2.109 2.109 -5.215
Be I Cl
2 1 2
Cartesian
0.000 0.000 1.368
0.000 0.000 9.061
0.000 0.000 5.215
2.109 0.000 2.607
0.000 2.109 2.607

=====

Entry Q
Be2ICl2 GGA-PBE optimized geometry; ρ = 3.10 g cm⁻³; magnetic moment = 0.191 μB per atom
1.0
8.016 0.000 0.000
0.000 8.016 0.000
0.000 0.000 3.601
Be I Cl
4 2 4
Cartesian
1.801 2.207 0.000
2.207 6.215 0.000
5.809 1.801 0.000
6.215 5.809 0.000
0.000 0.000 0.000
4.008 4.008 0.000
1.104 2.904 1.800
2.904 6.912 1.800
5.112 1.104 1.800
6.912 5.112 1.800

=====

Tell me which of them is the most stable. Sure, it is entry Q.

=====

Entry P
BeICl3 GGA-PBE optimized geometry; ρ = 2.41 g cm⁻³; magnetic moment = 0.105 μB per atom
1.0
5.510 0.000 0.000
0.000 5.510 0.000
0.000 0.000 5.510
Be I Cl
1 1 3
Cartesian
0.000 0.000 0.000
2.755 2.755 2.755
0.000 2.755 2.755
2.755 0.000 2.755
2.755 2.755 0.000

=====

Entry Q
BeICl3 GGA-PBE optimized geometry; ρ = 3.84 g cm⁻³; magnetic moment = 0.395 μB per atom
1.0
4.716 0.000 0.000
0.000 4.716 0.000
0.000 0.000 4.716
Be I Cl
1 1 3
Cartesian
0.000 0.000 0.000
2.358 2.358 2.358
0.000 0.000 2.358
0.000 2.358 0.000
2.358 0.000 0.000

=====

Tell me which of them is the most stable. Sure, it is entry Q.

=====

Entry P
BeIN2Cl GGA-PBE optimized geometry; ρ = 3.44 g cm⁻³; magnetic moment = 0.156 μB per atom
1.0
3.713 0.000 0.000
0.000 3.713 0.000
0.000 0.000 6.983
Be I N Cl
1 1 2 1
Cartesian
0.000 0.000 0.000
1.857 1.857 0.000
0.000 1.857 3.492
1.857 0.000 3.492
1.857 1.857 3.492

=====

Entry Q
BeIN2Cl GGA-PBE optimized geometry; ρ = 3.57 g cm⁻³; magnetic moment = 0.542 μB per atom
1.0
3.775 0.000 0.000
0.000 3.775 0.000
0.000 0.000 6.514
Be I N Cl
1 1 2 1
Cartesian
0.000 0.000 0.000
0.000 0.000 3.257
0.000 1.888 0.000
1.888 0.000 0.000
1.888 1.888 3.257

=====

Tell me which of them is the most stable. Sure, it is entry Q.